[1]
Entry from Alexandria: a relaxed CrReRh2 crystal (GGA-PBEsol).

Unit cell a=2.6621 b=4.2411 c=4.6669 alpha=90.00 beta=90.00 gamma=90.00
Last column: nearest neighbours and their distance in Å.
Fractional positions:
Rh 0.0000 0.5000 0.7010  4 Cr 2.61, 4 Re 2.63-2.74, 4 Rh 2.66
Rh 0.0000 0.0000 0.0446  4 Re 2.63, 4 Rh 2.66, 4 Cr 2.67-2.71
Re 0.5000 0.5000 0.2145  2 Cr 2.61, 8 Rh 2.63-2.74, 2 Re 2.66
Cr 0.5000 0.0000 0.5399  2 Re 2.61, 8 Rh 2.61-2.71, 2 Cr 2.66

Results
E: -10.11 eV per atom
Crystal system: orthorhombic
Polymorph energy (0 for the lowest one): 0 meV per atom
Calculated volume: 13.17 A^3/atom
ΔE_f: -0.572 eV/f.u.

***

[2]
Entry from Alexandria: a relaxed Ca2InTe2 crystal (GGA-PBEsol).

Unit cell a=4.0475 b=8.5618 c=8.5618 alpha=90.00 beta=90.00 gamma=90.00
Last column: nearest neighbours and their distance in Å.
Fractional positions:
Ca 0.5000 0.3466 0.1534  6 Te 3.12-3.29
Ca 0.5000 0.8466 0.3466  6 Te 3.12-3.29
Ca 0.5000 0.6534 0.8466  6 Te 3.12-3.29
Ca 0.5000 0.1534 0.6534  6 Te 3.12-3.29
Te 0.0000 0.3497 0.8497  6 Ca 3.12-3.29, 2 In 3.26
Te 0.0000 0.6503 0.1503  6 Ca 3.12-3.29, 2 In 3.26
Te 0.0000 0.1503 0.3497  6 Ca 3.12-3.29, 2 In 3.26
Te 0.0000 0.8497 0.6503  6 Ca 3.12-3.29, 2 In 3.26
In 0.0000 0.0000 0.0000  4 Te 3.26
In 0.0000 0.5000 0.5000  4 Te 3.26

Results
E: -3.92 eV per atom
E_form (uncorrected): -1.059 eV/atom
Crystal system: tetragonal
Calculated volume: 29.67 A^3/atom

***

[3]
Entry from Alexandria: a relaxed YNbH2 crystal (GGA-PBEsol).

Unit cell a=4.0976 b=4.0976 c=4.0976 alpha=60.00 beta=60.00 gamma=60.00
Last column: nearest neighbours and their distance in Å.
Fractional positions:
H 0.7500 0.7500 0.7500  4 Nb 2.51, 4 Y 2.51
H 0.2500 0.2500 0.2500  4 Nb 2.51, 4 Y 2.51
Y 0.0000 0.0000 0.0000  8 H 2.51
Nb 0.5000 0.5000 0.5000  8 H 2.51

Results
E: -5.64 eV per atom
Crystal system: cubic
Calculated volume: 12.16 A^3/atom

***

[4]
Entry from Alexandria: a relaxed CrClO crystal (GGA-PBEsol).

Unit cell a=3.1607 b=3.8333 c=7.9820 alpha=90.00 beta=90.00 gamma=90.00
Last column: nearest neighbours and their distance in Å.
Fractional positions:
O 0.5000 0.0000 0.9488  4 Cr 1.97-2.02
O 0.0000 0.5000 0.0512  4 Cr 1.97-2.02
Cl 0.5000 0.0000 0.3158  2 Cr 2.30
Cl 0.0000 0.5000 0.6842  2 Cr 2.30
Cr 0.5000 0.5000 0.8943  4 O 1.97-2.02
Cr 0.0000 0.0000 0.1057  4 O 1.97-2.02

Results
E: -7.37 eV per atom
E_form (uncorrected): -1.534 eV/atom
Crystal system: orthorhombic
Calculated volume: 16.12 A^3/atom

***

[5]
Entry from Alexandria: a relaxed TaCr3Au crystal (GGA-PBEsol).

Unit cell a=4.7059 b=4.7059 c=4.7059 alpha=90.00 beta=90.00 gamma=90.00
Last column: nearest neighbours and their distance in Å.
Fractional positions:
Ta 0.5000 0.5000 0.5000  12 Cr 3.33
Au 0.0000 0.0000 0.0000  6 Cr 2.35
Cr 0.0000 0.5000 0.0000  2 Au 2.35
Cr 0.5000 0.0000 0.0000  2 Au 2.35
Cr 0.0000 0.0000 0.5000  2 Au 2.35

Results
E: -7.47 eV per atom
Crystal system: cubic
Calculated volume: 20.84 A^3/atom
ΔE_f: 9.871 eV/f.u.

***

[6]
Entry from Alexandria: a relaxed Ge3O crystal (GGA-PBEsol).

Unit cell a=3.5755 b=3.5755 c=5.4897 alpha=109.01 beta=109.01 gamma=90.00
Last column: nearest neighbours and their distance in Å.
Fractional positions:
Ge 0.2500 0.7500 0.5000  4 Ge 2.53
Ge 0.5000 0.5000 0.0000  4 O 2.53
Ge 0.7500 0.2500 0.5000  4 Ge 2.53
O 0.0000 0.0000 0.0000  4 Ge 2.53

Results
E: -4.81 eV per atom
E_form (uncorrected): 0.210 eV/atom
Crystal system: tetragonal
Calculated volume: 15.57 A^3/atom

***

[7]
Entry from Alexandria: a relaxed FeHS2Cl crystal (GGA-PBEsol).

Unit cell a=4.3309 b=4.3309 c=4.8267 alpha=90.00 beta=90.00 gamma=90.00
Last column: nearest neighbours and their distance in Å.
Fractional positions:
Cl 0.0000 0.0000 0.5000  2 Fe 2.41
H 0.5000 0.5000 0.5000  4 Cl 3.06, 8 S 3.24
S 0.5000 0.0000 0.0000  2 Fe 2.17
S 0.0000 0.5000 0.0000  2 Fe 2.17
Fe 0.0000 0.0000 0.0000  4 S 2.17, 2 Cl 2.41

Results
E: -4.01 eV per atom
Crystal system: tetragonal
Calculated volume: 18.11 A^3/atom

***

[8]
Entry from Alexandria: a relaxed SrYZr2Pb crystal (GGA-PBEsol).

Unit cell a=5.2264 b=5.2264 c=5.6793 alpha=90.00 beta=90.00 gamma=90.00
Last column: nearest neighbours and their distance in Å.
Fractional positions:
Sr 0.0000 0.0000 0.5000  2 Y 2.84
Zr 0.0000 0.5000 0.0000  2 Y 2.61
Zr 0.5000 0.0000 0.0000  2 Y 2.61
Y 0.0000 0.0000 0.0000  4 Zr 2.61, 2 Sr 2.84
Pb 0.5000 0.5000 0.5000  4 Sr 3.70, 8 Zr 3.86

Results
E: -5.06 eV per atom
Crystal system: tetragonal
Calculated volume: 31.03 A^3/atom
ΔE_f: 5.523 eV/f.u.

***

[9]
Entry from Alexandria: a relaxed Ni2Mo4N crystal (GGA-PBEsol).

Unit cell a=7.8642 b=7.8642 c=7.8642 alpha=60.00 beta=60.00 gamma=60.00
Last column: nearest neighbours and their distance in Å.
Fractional positions:
Mo 0.8074 0.1926 0.8074  2 N 2.10
Mo 0.8074 0.8074 0.1926  2 N 2.10
Mo 0.4426 0.4426 0.0574  2 N 2.10
Mo 0.0574 0.4426 0.0574  2 N 2.10
Mo 0.4426 0.0574 0.4426  2 N 2.10
Mo 0.6250 0.6250 0.1250  6 Ni 2.41
Mo 0.0574 0.4426 0.4426  2 N 2.10
Mo 0.1926 0.1926 0.8074  2 N 2.10
Mo 0.1926 0.8074 0.8074  2 N 2.10
Mo 0.1926 0.8074 0.1926  2 N 2.10
Mo 0.4426 0.0574 0.0574  2 N 2.10
Mo 0.6250 0.6250 0.6250  6 Ni 2.41
Mo 0.1250 0.6250 0.6250  6 Ni 2.41
Mo 0.6250 0.1250 0.6250  6 Ni 2.41
Mo 0.0574 0.0574 0.4426  2 N 2.10
Mo 0.8074 0.1926 0.1926  2 N 2.10
Ni 0.8337 0.4989 0.8337  6 Mo 2.41-2.63, 3 Ni 2.63
Ni 0.8337 0.8337 0.8337  6 Mo 2.41-2.63, 3 Ni 2.63
Ni 0.4163 0.4163 0.7511  6 Mo 2.41-2.63, 3 Ni 2.63
Ni 0.4163 0.7511 0.4163  6 Mo 2.41-2.63, 3 Ni 2.63
Ni 0.4163 0.4163 0.4163  6 Mo 2.41-2.63, 3 Ni 2.63
Ni 0.4989 0.8337 0.8337  6 Mo 2.41-2.63, 3 Ni 2.63
Ni 0.8337 0.8337 0.4989  6 Mo 2.41-2.63, 3 Ni 2.63
Ni 0.7511 0.4163 0.4163  6 Mo 2.41-2.63, 3 Ni 2.63
N 0.1250 0.6250 0.1250  6 Mo 2.10
N 0.6250 0.1250 0.1250  6 Mo 2.10
N 0.1250 0.1250 0.1250  6 Mo 2.10
N 0.1250 0.1250 0.6250  6 Mo 2.10

Results
E: -9.99 eV per atom
E_form (uncorrected): -0.286 eV/atom
Crystal system: cubic
Calculated volume: 12.28 A^3/atom

***

[10]
Entry from Alexandria: a relaxed Re2OsBr crystal (GGA-PBEsol).

Unit cell a=2.8603 b=4.5819 c=4.5819 alpha=90.00 beta=90.00 gamma=90.00
Last column: nearest neighbours and their distance in Å.
Fractional positions:
Re 0.0000 0.0000 0.5000  4 Br 2.70, 4 Os 2.70, 2 Re 2.86
Re 0.0000 0.5000 0.0000  4 Os 2.70, 4 Br 2.70, 2 Re 2.86
Br 0.5000 0.5000 0.5000  8 Re 2.70, 2 Br 2.86
Os 0.5000 0.0000 0.0000  8 Re 2.70, 2 Os 2.86

Results
E: -9.06 eV per atom
E_form (uncorrected): 1.125 eV/atom
Crystal system: tetragonal
Calculated volume: 15.01 A^3/atom

***

[11]
Entry from Alexandria: a relaxed LiY2Tc crystal (GGA-PBEsol).

Unit cell a=3.3390 b=4.2159 c=7.7707 alpha=96.67 beta=90.00 gamma=113.33
Last column: nearest neighbours and their distance in Å.
Fractional positions:
Y 0.2319 0.4638 0.1959  3 Tc 2.72-2.76
Y 0.7681 0.5362 0.8041  3 Tc 2.72-2.76
Tc 0.5000 0.0000 0.0000  6 Y 2.72-2.76
Li 0.0000 0.0000 0.5000  6 Y 3.14-3.38, 2 Li 3.34

Results
E: -6.44 eV per atom
Crystal system: monoclinic
Calculated volume: 24.91 A^3/atom
ΔE_f: 1.115 eV/f.u.

***

[12]
Entry from Alexandria: a relaxed Ca4AlNi crystal (GGA-PBEsol).

Unit cell a=6.1744 b=6.1744 c=6.1744 alpha=60.00 beta=60.00 gamma=60.00
Last column: nearest neighbours and their distance in Å.
Fractional positions:
Ni 0.7500 0.7500 0.7500  12 Ca 3.62, 4 Al 3.78
Ca 0.3753 0.8741 0.3753  6 Ca 3.08-3.09
Ca 0.8741 0.3753 0.3753  6 Ca 3.08-3.09
Ca 0.3753 0.3753 0.3753  6 Ca 3.08-3.09
Ca 0.3753 0.3753 0.8741  6 Ca 3.08-3.09
Al 0.0000 0.0000 0.0000  12 Ca 3.62, 4 Ni 3.78

Results
E: -2.39 eV per atom
Crystal system: cubic
Calculated volume: 27.74 A^3/atom
ΔE_f: 4.459 eV/f.u.